Computed, not measured: a geometry-optimized Ho2GeRu structure at the PBE level of DFT.

## Properties
Space group ... Amm2
Crystal system ... orthorhombic
Density of states at the Fermi level ... 0.470 states/eV per atom
Energy relative to the elements ... -2.548 eV per formula unit

Lattice parameters (Å, degrees): 4.2165 3.8532 5.7969 90.00 111.33 90.00
Fractional positions:
Ho (0.8114, 0.5000, 0.6229)
Ru (0.3623, 0.0000, 0.7247)
Ge (0.5173, 0.5000, 0.0346)
Ho (0.0934, 0.0000, 0.1869)



Computed, not measured: a geometry-optimized Ho4Ge6Ru7 structure at the PBE level of DFT.

## Properties
Space group ... Im-3m
Crystal system ... cubic
Density of states at the Fermi level ... 0.812 states/eV per atom
Energy relative to the elements ... -10.641 eV per formula unit

Lattice parameters (Å, degrees): 7.2355 7.2355 7.2355 109.47 109.47 109.47
Fractional positions:
Ge (0.0000, 0.6844, 0.6844)
Ge (0.3156, 0.3156, 0.0000)
Ru (0.7500, 0.5000, 0.2500)
Ru (0.0000, 0.0000, 0.0000)
Ho (0.0000, 0.5000, 0.0000)
Ho (0.0000, 0.0000, 0.5000)
Ru (0.2500, 0.7500, 0.5000)
Ge (0.3156, 0.0000, 0.3156)
Ru (0.7500, 0.2500, 0.5000)
Ho (0.5000, 0.0000, 0.0000)
Ho (0.5000, 0.5000, 0.5000)
Ge (0.6844, 0.6844, 0.0000)
Ru (0.5000, 0.7500, 0.2500)
Ru (0.2500, 0.5000, 0.7500)
Ge (0.0000, 0.3156, 0.3156)
Ge (0.6844, 0.0000, 0.6844)
Ru (0.5000, 0.2500, 0.7500)



Computed, not measured: a geometry-optimized Ho5GeRu2 structure at the PBE level of DFT.

## Properties
Space group ... I4/mcm
Crystal system ... tetragonal
Density of states at the Fermi level ... 0.915 states/eV per atom
Energy relative to the elements ... -3.940 eV per formula unit

Lattice parameters (Å, degrees): 7.5974 7.5974 8.4775 116.62 116.62 90.00
Fractional positions:
Ho (0.3006, 0.8006, 0.2786)
Ho (0.5000, 0.5000, 0.0000)
Ho (0.6994, 0.1994, 0.7214)
Ru (0.8621, 0.6379, 0.0000)
Ru (0.6379, 0.1379, 0.0000)
Ru (0.3621, 0.8621, 0.0000)
Ge (0.2500, 0.2500, 0.5000)
Ho (0.0220, 0.5220, 0.7214)
Ho (0.8006, 0.9780, 0.2786)
Ru (0.1379, 0.3621, 0.0000)
Ho (0.5220, 0.6994, 0.7214)
Ge (0.7500, 0.7500, 0.5000)
Ho (0.0000, 0.0000, 0.0000)
Ho (0.1994, 0.0220, 0.7214)
Ho (0.9780, 0.4780, 0.2786)
Ho (0.4780, 0.3006, 0.2786)



Computed, not measured: a geometry-optimized HoGe2Ru3 structure at the PBE level of DFT.

## Properties
Space group ... P6mm
Crystal system ... hexagonal
Density of states at the Fermi level ... 1.088 states/eV per atom
Energy relative to the elements ... -2.509 eV per formula unit

Lattice parameters (Å, degrees): 3.8347 5.5605 5.5605 120.00 90.00 90.00
Each line ends with the local moment (μB).
Fractional positions:
Ru (0.0548, 0.5000, 0.0000)  0.20
Ru (0.0548, 0.0000, 0.5000)  0.20
Ge (0.5547, 0.3333, 0.6667)  0.00
Ru (0.0548, 0.5000, 0.5000)  0.20
Ho (0.5563, 0.0000, 0.0000)  -0.04
Ge (0.5547, 0.6667, 0.3333)  0.00



Computed, not measured: a geometry-optimized Ho4GeRu2 structure at the PBE level of DFT.

## Properties
Space group ... P1
Crystal system ... triclinic
Density of states at the Fermi level ... 0.644 states/eV per atom
Energy relative to the elements ... -2.781 eV per formula unit

Lattice parameters (Å, degrees): 6.6011 8.7555 8.7545 120.17 109.18 109.37
Fractional positions:
Ru (0.6255, 0.3172, 0.1921)
Ho (0.4032, 0.0438, 0.2687)
Ru (0.1250, 0.4442, 0.8194)
Ho (0.3686, 0.5292, 0.2218)
Ru (0.6993, 0.8982, 0.3141)
Ho (0.1966, 0.0942, 0.7050)
Ho (0.0530, 0.2577, 0.3972)
Ru (0.5496, 0.3650, 0.6992)
Ho (0.8820, 0.6031, 0.6613)
Ge (0.1811, 0.6679, 0.4953)
Ge (0.0684, 0.0638, 0.9865)
Ho (0.6963, 0.0889, 0.7071)
Ho (0.8480, 0.6164, 0.1408)
Ho (0.5532, 0.7602, 0.8915)



Computed, not measured: a geometry-optimized HoGe3Ru3 structure at the PBE level of DFT.

## Properties
Space group ... Pm-3n
Polymorph energy (0 for the lowest one) ... 0.370 eV/atom
Crystal system ... cubic
Density of states at the Fermi level ... 0.336 states/eV per atom
Energy relative to the elements ... 0.935 eV per formula unit

Lattice parameters (Å, degrees): 6.6645 6.6645 6.6645 90.00 90.00 90.00
Fractional positions:
Ho (0.5000, 0.5000, 0.5000)
Ru (0.5000, 0.2500, 0.0000)
Ho (0.0000, 0.0000, 0.0000)
Ru (0.2500, 0.0000, 0.5000)
Ge (0.0000, 0.2500, 0.5000)
Ge (0.5000, 0.0000, 0.2500)
Ge (0.5000, 0.0000, 0.7500)
Ru (0.0000, 0.5000, 0.7500)
Ge (0.7500, 0.5000, 0.0000)
Ru (0.7500, 0.0000, 0.5000)
Ge (0.0000, 0.7500, 0.5000)
Ru (0.5000, 0.7500, 0.0000)
Ru (0.0000, 0.5000, 0.2500)
Ge (0.2500, 0.5000, 0.0000)



Computed, not measured: a geometry-optimized Ho2GeRu structure at the PBE level of DFT.

## Properties
Space group ... P2_1/m
Crystal system ... monoclinic
Density of states at the Fermi level ... 0.517 states/eV per atom
Energy relative to the elements ... -2.516 eV per formula unit

Lattice parameters (Å, degrees): 3.6432 6.0129 8.7904 113.77 90.00 90.00
Fractional positions:
Ho (0.7500, 0.2154, 0.9441)
Ho (0.7500, 0.2169, 0.4172)
Ho (0.2500, 0.7831, 0.5828)
Ge (0.7500, 0.6533, 0.2836)
Ho (0.2500, 0.7846, 0.0559)
Ge (0.2500, 0.3467, 0.7164)
Ru (0.2500, 0.3300, 0.2156)
Ru (0.7500, 0.6700, 0.7844)



Computed, not measured: a geometry-optimized HoGe2Ru4 structure at the PBE level of DFT.

## Properties
Space group ... P4_2/mnm
Polymorph energy (0 for the lowest one) ... 0.000 eV/atom
Crystal system ... tetragonal
Density of states at the Fermi level ... 0.856 states/eV per atom
Energy relative to the elements ... -2.960 eV per formula unit

Lattice parameters (Å, degrees): 3.9506 7.6041 7.6041 90.00 90.00 90.00
Fractional positions:
Ru (0.0000, 0.3461, 0.0816)
Ru (0.5000, 0.4184, 0.8461)
Ru (0.0000, 0.0816, 0.3461)
Ru (0.5000, 0.8461, 0.4184)
Ru (0.0000, 0.9184, 0.6539)
Ho (0.0000, 0.5000, 0.5000)
Ru (0.5000, 0.1539, 0.5816)
Ge (0.0000, 0.7848, 0.2152)
Ru (0.5000, 0.5816, 0.1539)
Ge (0.5000, 0.7152, 0.7152)
Ru (0.0000, 0.6539, 0.9184)
Ge (0.5000, 0.2848, 0.2848)
Ho (0.5000, 0.0000, 0.0000)
Ge (0.0000, 0.2152, 0.7848)



Computed, not measured: a geometry-optimized HoGe2Ru structure at the PBE level of DFT.

## Properties
Space group ... Pnma
Crystal system ... orthorhombic
Density of states at the Fermi level ... 0.723 states/eV per atom
Energy relative to the elements ... -1.720 eV per formula unit

Lattice parameters (Å, degrees): 4.2511 6.7069 11.0931 90.00 90.00 90.00
Fractional positions:
Ho (0.2500, 0.9283, 0.8512)
Ru (0.2500, 0.6241, 0.0846)
Ho (0.7500, 0.5717, 0.3512)
Ge (0.7500, 0.2267, 0.5066)
Ge (0.7500, 0.6609, 0.7627)
Ru (0.7500, 0.3759, 0.9154)
Ge (0.7500, 0.7267, 0.9934)
Ge (0.2500, 0.7733, 0.4934)
Ru (0.2500, 0.1241, 0.4154)
Ge (0.2500, 0.2733, 0.0066)
Ru (0.7500, 0.8759, 0.5846)
Ho (0.7500, 0.0717, 0.1488)
Ho (0.2500, 0.4283, 0.6488)
Ge (0.7500, 0.1609, 0.7373)
Ge (0.2500, 0.8391, 0.2627)
Ge (0.2500, 0.3391, 0.2373)



Computed, not measured: a geometry-optimized Ho3Ge3Ru2 structure at the PBE level of DFT.

## Properties
Space group ... Pnma
Polymorph energy (0 for the lowest one) ... 0.055 eV/atom
Crystal system ... orthorhombic
Density of states at the Fermi level ... 0.685 states/eV per atom
Energy relative to the elements ... -5.827 eV per formula unit

Lattice parameters (Å, degrees): 5.6818 8.1003 14.1950 90.00 90.00 90.00
Fractional positions:
Ru (0.8943, 0.0811, 0.4074)
Ru (0.8943, 0.0811, 0.0926)
Ho (0.1164, 0.4577, 0.3866)
Ge (0.8680, 0.7995, 0.0401)
Ge (0.8680, 0.7995, 0.4599)
Ru (0.6057, 0.5811, 0.4074)
Ho (0.8836, 0.5423, 0.8866)
Ho (0.6164, 0.0423, 0.8866)
Ho (0.8836, 0.5423, 0.6134)
Ru (0.1057, 0.9189, 0.5926)
Ge (0.8923, 0.8353, 0.7500)
Ge (0.6320, 0.2995, 0.0401)
Ge (0.1320, 0.2005, 0.5401)
Ho (0.8692, 0.8174, 0.2500)
Ho (0.3692, 0.6826, 0.7500)
Ho (0.6308, 0.3174, 0.2500)
Ru (0.6057, 0.5811, 0.0926)
Ho (0.3836, 0.9577, 0.3866)
Ru (0.3943, 0.4189, 0.5926)
Ge (0.1077, 0.1647, 0.2500)
Ho (0.1164, 0.4577, 0.1134)
Ge (0.6077, 0.3353, 0.7500)
Ho (0.6164, 0.0423, 0.6134)
Ru (0.1057, 0.9189, 0.9074)
Ge (0.6320, 0.2995, 0.4599)
Ho (0.1308, 0.1826, 0.7500)
Ho (0.3836, 0.9577, 0.1134)
Ge (0.3680, 0.7005, 0.5401)
Ge (0.3680, 0.7005, 0.9599)
Ge (0.1320, 0.2005, 0.9599)
Ru (0.3943, 0.4189, 0.9074)
Ge (0.3923, 0.6647, 0.2500)



Computed, not measured: a geometry-optimized Ho3Ge3Ru structure at the PBE level of DFT.

## Properties
Space group ... C2/m
Crystal system ... monoclinic
Density of states at the Fermi level ... 0.600 states/eV per atom
Energy relative to the elements ... -5.770 eV per formula unit

Lattice parameters (Å, degrees): 4.2631 5.7732 13.1195 84.42 80.65 68.33
Fractional positions:
Ho (0.5231, 0.3311, 0.6227)
Ho (0.2576, 0.2551, 0.2297)
Ge (0.1239, 0.8264, 0.9258)
Ge (0.0433, 0.1519, 0.7615)
Ge (0.1354, 0.2744, 0.4547)
Ho (0.4008, 0.2783, 0.9201)
Ho (0.4769, 0.6689, 0.3773)
Ge (0.9567, 0.8481, 0.2385)
Ho (0.7424, 0.7449, 0.7703)
Ru (0.7543, 0.0791, 0.4123)
Ge (0.8646, 0.7256, 0.5453)
Ho (0.5992, 0.7217, 0.0799)
Ru (0.2457, 0.9209, 0.5877)
Ge (0.8761, 0.1736, 0.0742)



Computed, not measured: a geometry-optimized HoGe4Ru4 structure at the PBE level of DFT.

## Properties
Space group ... P4_2/nmc
Crystal system ... tetragonal
Density of states at the Fermi level ... 0.733 states/eV per atom
Energy relative to the elements ... -2.749 eV per formula unit

Lattice parameters (Å, degrees): 6.0743 6.0743 8.2494 90.00 90.00 90.00
Fractional positions:
Ge (0.2084, 0.5000, 0.1849)
Ru (0.0000, 0.2630, 0.3851)
Ru (0.2370, 0.5000, 0.8851)
Ho (0.0000, 0.0000, 0.0000)
Ge (0.5000, 0.2084, 0.8151)
Ho (0.5000, 0.5000, 0.5000)
Ge (0.7916, 0.5000, 0.1849)
Ru (0.2630, 0.0000, 0.6149)
Ge (0.2916, 0.0000, 0.3151)
Ru (0.5000, 0.7630, 0.1149)
Ru (0.0000, 0.7370, 0.3851)
Ru (0.7370, 0.0000, 0.6149)
Ru (0.5000, 0.2370, 0.1149)
Ge (0.7084, 0.0000, 0.3151)
Ge (0.0000, 0.7084, 0.6849)
Ge (0.5000, 0.7916, 0.8151)
Ge (0.0000, 0.2916, 0.6849)
Ru (0.7630, 0.5000, 0.8851)